# Mg8Pd2Pt | Alexandria via LeMat-Bulk | PBE-GGA | optimized geometry
data_Mg8Pd2Pt
_chemical_formula_sum 'Mg16 Pd4 Pt2'
_cell_length_a 14.964
_cell_length_b 4.522
_cell_length_c 6.624
_cell_angle_alpha 90.00
_cell_angle_beta 112.76
_cell_angle_gamma 90.00
_space_group_name_H-M_alt 'C 1 2/m 1'
_space_group_IT_number 12
_space_group_name_Hall '-C 2y'
loop_
_atom_site_label
_atom_site_type_symbol
_atom_site_fract_x
_atom_site_fract_y
_atom_site_fract_z
Mg1 Mg 0.024 0.000 0.265
Mg2 Mg 0.111 0.500 0.937
Mg3 Mg 0.166 0.500 0.425
Mg4 Mg 0.178 0.000 0.745
Pd1 Pd 0.188 0.000 0.169
Pt1 Pt 0.000 0.500 0.500
# calculated formation energy: -494 meV/atom